Compound: Pm3Ga3Ni2
Source: Alexandria
Functional: PBE
Structure: relaxed

E: -4.9184 eV/atom
Calculated formation energy: -0.56 eV/atom
Crystal system: orthorhombic
Distance to the lowest polymorph of the same formula: 8 meV per atom

The structure in POSCAR format:
```
Pm3Ga3Ni2
1.0
7.993 0.000 0.000
0.000 14.979 0.000
0.000 0.000 5.583
Pm Ga Ni
12 12 8
Cartesian
0.333 1.612 0.701 Pm
0.333 5.878 0.701 Pm
1.475 3.745 3.496 Pm
2.522 11.234 0.705 Pm
3.664 9.101 3.492 Pm
3.664 13.367 3.492 Pm
4.329 1.612 2.091 Pm
4.329 5.878 2.091 Pm
5.471 3.745 4.879 Pm
6.518 11.234 2.087 Pm
7.660 9.101 4.882 Pm
7.660 13.367 4.882 Pm
1.305 11.234 3.405 Ga
1.458 0.574 3.440 Ga
1.458 6.915 3.440 Ga
2.539 8.064 0.648 Ga
2.539 14.405 0.648 Ga
2.692 3.745 0.613 Ga
5.301 11.234 4.970 Ga
5.454 0.574 4.935 Ga
5.454 6.915 4.935 Ga
6.535 8.064 2.144 Ga
6.535 14.405 2.144 Ga
6.688 3.745 2.178 Ga
0.831 9.048 2.122 Ni
0.831 13.420 2.122 Ni
3.165 1.559 4.913 Ni
3.165 5.931 4.913 Ni
4.827 9.048 0.670 Ni
4.827 13.420 0.670 Ni
7.162 1.559 3.461 Ni
7.162 5.931 3.461 Ni
```